[1]
Here is a geometry-optimized SrLi2Fe structure from Alexandria. Energies are from GGA-PBE.

Summary:
Spin magnetization ... 2.319 Bohr magnetons per cell
Raw total energy ... -2.96 eV per atom
DOS at the Fermi energy ... 4.855 states/eV/f.u.

CIF file:
```
data_SrLi2Fe
_chemical_formula_sum 'Sr1 Li2 Fe1'
_space_group_name_H-M_alt 'P m m m'
_space_group_IT_number 47
_cell_length_a 4.393
_cell_length_b 4.420
_cell_length_c 4.923
_cell_angle_alpha 90.00
_cell_angle_beta 90.00
_cell_angle_gamma 90.00
loop_
_space_group_symop_operation_xyz
'x,y,z'
'-x,-y,-z'
'-x,-y,z'
'x,y,-z'
'x,-y,-z'
'-x,y,z'
'-x,y,-z'
'x,-y,z'
loop_
_atom_site_label
_atom_site_type_symbol
_atom_site_fract_x
_atom_site_fract_y
_atom_site_fract_z
Sr1 Sr 0.000 0.000 0.000
Li1 Li 0.000 0.500 0.500
Li2 Li 0.500 0.000 0.500
Fe1 Fe 0.500 0.500 0.000
```


[2]
Here is a geometry-optimized SmInSe4 structure from Alexandria. Energies are from GGA-PBE.

Summary:
Spin magnetization ... 0.000 Bohr magnetons per cell
ΔE_f (raw) ... -739 meV per atom
Raw total energy ... -4.30 eV per atom
DOS at the Fermi energy ... 4.856 states/eV/f.u.

CIF file:
```
data_SmInSe4
_chemical_formula_sum 'Sm4 In4 Se16'
_space_group_name_H-M_alt 'C m c m'
_space_group_IT_number 63
_space_group_name_Hall '-C 2c 2'
_cell_length_a 9.435
_cell_length_b 7.880
_cell_length_c 9.303
_cell_angle_alpha 90.00
_cell_angle_beta 90.00
_cell_angle_gamma 90.00
loop_
_atom_site_label
_atom_site_type_symbol
_atom_site_fract_x
_atom_site_fract_y
_atom_site_fract_z
Sm1 Sm 0.000 0.079 0.250
In1 In 0.000 0.452 0.750
Se1 Se 0.000 0.214 0.548
Se2 Se 0.224 0.354 0.250
```


[3]
Here is a geometry-optimized Sb2MoPb structure from Alexandria. Energies are from GGA-PBE.

Summary:
Spin magnetization ... 4.952 Bohr magnetons per cell
ΔE_f (raw) ... 657 meV per atom
Raw total energy ... -5.04 eV per atom
DOS at the Fermi energy ... 2.812 states/eV/f.u.

CIF file:
```
data_Sb2MoPb
_chemical_formula_sum 'Sb4 Mo2 Pb2'
_space_group_name_H-M_alt 'I -4 m 2'
_space_group_IT_number 119
_space_group_name_Hall 'I -4 -2'
_cell_length_a 4.484
_cell_length_b 4.484
_cell_length_c 9.861
_cell_angle_alpha 90.00
_cell_angle_beta 90.00
_cell_angle_gamma 90.00
loop_
_atom_site_label
_atom_site_type_symbol
_atom_site_fract_x
_atom_site_fract_y
_atom_site_fract_z
Sb1 Sb 0.000 0.000 0.000
Sb2 Sb 0.000 0.500 0.250
Mo1 Mo 0.000 0.500 0.750
Pb1 Pb 0.000 0.000 0.500
```


[4]
Here is a geometry-optimized KSbF4 structure from Alexandria. Energies are from GGA-PBE.

Summary:
Spin magnetization ... 0.000 Bohr magnetons per cell
ΔE_f (raw) ... -2493 meV per atom
Raw total energy ... -4.61 eV per atom
DOS at the Fermi energy ... 0.000 states/eV/f.u.

CIF file:
```
data_KSbF4
_chemical_formula_sum 'K3 Sb3 F12'
_space_group_name_H-M_alt 'R -3 m'
_space_group_IT_number 166
_space_group_name_Hall '-R 3 2"'
_cell_length_a 4.1291
_cell_length_b 4.1291
_cell_length_c 20.7326
_cell_angle_alpha 90.00
_cell_angle_beta 90.00
_cell_angle_gamma 120.00
loop_
_atom_site_label
_atom_site_type_symbol
_atom_site_fract_x
_atom_site_fract_y
_atom_site_fract_z
K1 K 0.0000 0.0000 0.0000
Sb1 Sb 0.0000 0.0000 0.5000
F1 F 0.0000 0.0000 0.1444
F2 F 0.0000 0.0000 0.3956
```